Entry 1:
CsIrPb2 after structural relaxation. Source: Alexandria via LeMat-Bulk, functional GGA-PBE.

a = 3.5598 Å, b = 3.5598 Å, c = 9.1481 Å
α = 90.00°, β = 90.00°, γ = 90.00°
Closest atoms and distances in Å follow each position.
Space group P4/mmm (No. 123)
Asymmetric unit:
Cs: 0.0000 0.0000 0.0000 (multiplicity 1)  4 Cs 3.56, 8 Pb 3.91
Ir: 0.0000 0.0000 0.5000 (multiplicity 1)  8 Pb 2.97
Pb: 0.5000 0.5000 0.3274 (multiplicity 2)  4 Ir 2.97, 1 Pb 3.16

Summary:
Energy above the most stable polymorph in this dataset = 0 meV per atom
ρ = 10.6 Mg/m³
Uncorrected energy = -16.50 eV per formula unit
Size of the total moment = 0.00 μB per formula unit



Entry 2:
CsTl2IrPb after structural relaxation. Source: Alexandria via LeMat-Bulk, functional GGA-PBE.

a = 5.4190 Å, b = 5.4190 Å, c = 5.5736 Å
α = 90.00°, β = 90.00°, γ = 90.00°
Closest atoms and distances in Å follow each position.
Space group P4/mmm (No. 123)
Asymmetric unit:
Cs: 0.0000 0.0000 0.0000 (multiplicity 1)  4 Pb 3.83, 8 Tl 3.89
Tl: 0.0000 0.5000 0.5000 (multiplicity 2)  2 Ir 2.71
Ir: 0.5000 0.5000 0.5000 (multiplicity 1)  4 Tl 2.71, 2 Pb 2.79
Pb: 0.5000 0.5000 0.0000 (multiplicity 1)  2 Ir 2.79

Summary:
ρ = 9.5 Mg/m³
Uncorrected energy = -17.50 eV per formula unit
Size of the total moment = 0.00 μB per formula unit



Entry 3:
Cs2YIrPb after structural relaxation. Source: Alexandria via LeMat-Bulk, functional GGA-PBE.

a = 6.5723 Å, b = 6.5723 Å, c = 5.2446 Å
α = 90.00°, β = 90.00°, γ = 90.00°
Closest atoms and distances in Å follow each position.
Space group P4/mmm (No. 123)
Asymmetric unit:
Cs: 0.0000 0.5000 0.0000 (multiplicity 2)  2 Ir 3.29
Y: 0.0000 0.0000 0.5000 (multiplicity 1)  8 Cs 4.20, 4 Pb 4.65
Ir: 0.5000 0.5000 0.0000 (multiplicity 1)  2 Pb 2.62
Pb: 0.5000 0.5000 0.5000 (multiplicity 1)  2 Ir 2.62

Summary:
ρ = 5.5 Mg/m³
Uncorrected energy = -16.42 eV per formula unit
Size of the total moment = 0.47 μB per formula unit



Entry 4:
CsZn2IrPb after structural relaxation. Source: Alexandria via LeMat-Bulk, functional GGA-PBE.

a = 5.1447 Å, b = 5.1447 Å, c = 5.2064 Å
α = 90.00°, β = 90.00°, γ = 90.00°
Closest atoms and distances in Å follow each position.
Space group P4/mmm (No. 123)
Asymmetric unit:
Cs: 0.0000 0.0000 0.0000 (multiplicity 1)  4 Pb 3.64, 8 Zn 3.66
Zn: 0.0000 0.5000 0.5000 (multiplicity 2)  2 Ir 2.57
Ir: 0.5000 0.5000 0.5000 (multiplicity 1)  4 Zn 2.57, 2 Pb 2.60
Pb: 0.5000 0.5000 0.0000 (multiplicity 1)  2 Ir 2.60

Summary:
ρ = 8.0 Mg/m³
Uncorrected energy = -16.03 eV per formula unit
Size of the total moment = 0.00 μB per formula unit



Entry 5:
CsIr3Pd after structural relaxation. Source: Alexandria via LeMat-Bulk, functional GGA-PBE.

a = 4.9442 Å, b = 4.9442 Å, c = 4.9442 Å
α = 90.00°, β = 90.00°, γ = 90.00°
Closest atoms and distances in Å follow each position.
Space group Pm-3m (No. 221)
Asymmetric unit:
Cs: 0.0000 0.0000 0.0000 (multiplicity 1)  6 Ir 2.47
Ir: 0.0000 0.0000 0.5000 (multiplicity 3)  2 Cs 2.47
Pd: 0.5000 0.5000 0.5000 (multiplicity 1)  12 Ir 3.50

Summary:
ρ = 11.2 Mg/m³
Uncorrected energy = -16.69 eV per formula unit
Size of the total moment = 1.85 μB per formula unit



Entry 6:
Cs2IrPdRu after structural relaxation. Source: Alexandria via LeMat-Bulk, functional GGA-PBE.

a = 6.1820 Å, b = 6.1820 Å, c = 4.7612 Å
α = 90.00°, β = 90.00°, γ = 90.00°
Closest atoms and distances in Å follow each position.
Space group P4/mmm (No. 123)
Asymmetric unit:
Cs: 0.0000 0.5000 0.0000 (multiplicity 2)  2 Ru 3.09
Ir: 0.0000 0.0000 0.5000 (multiplicity 1)  8 Cs 3.90
Pd: 0.5000 0.5000 0.5000 (multiplicity 1)  2 Ru 2.38
Ru: 0.5000 0.5000 0.0000 (multiplicity 1)  2 Pd 2.38

Summary:
ρ = 6.1 Mg/m³
Uncorrected energy = -16.49 eV per formula unit
Size of the total moment = 2.36 μB per formula unit



Entry 7:
Cs2IrPdS4 after structural relaxation. Source: Alexandria via LeMat-Bulk, functional GGA-PBE.

a = 5.8262 Å, b = 14.2425 Å, c = 24.4021 Å
α = 90.00°, β = 90.00°, γ = 90.00°
Closest atoms and distances in Å follow each position.
Space group Fddd (No. 70, origin choice 2)
Asymmetric unit:
Cs: 0.1250 0.1250 0.3047 (multiplicity 16)  8 S 3.63-3.81
Ir: 0.1250 0.1250 0.1250 (multiplicity 8)  4 S 2.25
Pd: 0.1250 0.1250 0.6250 (multiplicity 8)  4 S 2.40
S: 0.1054 0.2843 0.4270 (multiplicity 32)  1 Ir 2.25, 1 Pd 2.40

Summary:
Uncorrected formation energy = -0.561 eV per atom
ρ = 4.5 Mg/m³
Uncorrected energy = -36.76 eV per formula unit
Size of the total moment = 0.00 μB per formula unit



Entry 8:
CsSc2IrPd after structural relaxation. Source: Alexandria via LeMat-Bulk, functional GGA-PBE.

a = 4.9981 Å, b = 4.9981 Å, c = 5.5235 Å
α = 90.00°, β = 90.00°, γ = 90.00°
Closest atoms and distances in Å follow each position.
Space group P4/mmm (No. 123)
Asymmetric unit:
Cs: 0.0000 0.0000 0.0000 (multiplicity 1)  4 Pd 3.53, 8 Sc 3.72
Sc: 0.0000 0.5000 0.5000 (multiplicity 2)  2 Ir 2.50
Ir: 0.5000 0.5000 0.5000 (multiplicity 1)  4 Sc 2.50, 2 Pd 2.76
Pd: 0.5000 0.5000 0.0000 (multiplicity 1)  2 Ir 2.76

Summary:
ρ = 6.3 Mg/m³
Uncorrected energy = -27.31 eV per formula unit
Size of the total moment = 0.00 μB per formula unit



Entry 9:
Cs2IrPdSe4 after structural relaxation. Source: Alexandria via LeMat-Bulk, functional GGA-PBE.

a = 6.0232 Å, b = 14.6471 Å, c = 24.8982 Å
α = 90.00°, β = 90.00°, γ = 90.00°
Closest atoms and distances in Å follow each position.
Space group Fddd (No. 70, origin choice 2)
Asymmetric unit:
Cs: 0.1250 0.1250 0.3075 (multiplicity 16)  8 Se 3.73-3.88
Ir: 0.1250 0.1250 0.1250 (multiplicity 8)  4 Se 2.39
Pd: 0.1250 0.1250 0.6250 (multiplicity 8)  4 Se 2.51
Se: 0.1090 0.2823 0.4300 (multiplicity 32)  1 Ir 2.39, 1 Pd 2.51

Summary:
Uncorrected formation energy = -0.546 eV per atom
ρ = 5.3 Mg/m³
Uncorrected energy = -34.06 eV per formula unit
Size of the total moment = 0.00 μB per formula unit



Entry 10:
CsPr2Ir after structural relaxation. Source: Alexandria via LeMat-Bulk, functional GGA-PBE.

a = 4.3083 Å, b = 4.3083 Å, c = 34.1118 Å
α = 90.00°, β = 90.00°, γ = 120.00°
Closest atoms and distances in Å follow each position.
Space group R-3m (No. 166, hexagonal axes)
Asymmetric unit:
Cs: 0.0000 0.0000 0.0000 (multiplicity 3)  2 Pr 4.24, 6 Cs 4.31
Pr: 0.0000 0.0000 0.1243 (multiplicity 6)  3 Ir 2.88
Ir: 0.0000 0.0000 0.5000 (multiplicity 3)  6 Pr 2.88

Summary:
ρ = 5.5 Mg/m³
Uncorrected energy = -20.18 eV per formula unit
Size of the total moment = 0.00 μB per formula unit



Entry 11:
CsIr3Pt after structural relaxation. Source: Alexandria via LeMat-Bulk, functional GGA-PBE.

a = 4.9124 Å, b = 4.9124 Å, c = 4.9124 Å
α = 90.00°, β = 90.00°, γ = 90.00°
Closest atoms and distances in Å follow each position.
Space group Pm-3m (No. 221)
Asymmetric unit:
Cs: 0.0000 0.0000 0.0000 (multiplicity 1)  6 Ir 2.46
Ir: 0.0000 0.0000 0.5000 (multiplicity 3)  2 Cs 2.46
Pt: 0.5000 0.5000 0.5000 (multiplicity 1)  12 Ir 3.47

Summary:
Energy above the most stable polymorph in this dataset = 1642 meV per atom
ρ = 12.7 Mg/m³
Uncorrected energy = -16.82 eV per formula unit
Size of the total moment = 1.78 μB per formula unit



Entry 12:
CsIrPt3 after structural relaxation. Source: Alexandria via LeMat-Bulk, functional GGA-PBE.

a = 5.0620 Å, b = 5.0620 Å, c = 5.0620 Å
α = 90.00°, β = 90.00°, γ = 90.00°
Closest atoms and distances in Å follow each position.
Space group Pm-3m (No. 221)
Asymmetric unit:
Cs: 0.0000 0.0000 0.0000 (multiplicity 1)  6 Pt 2.53
Ir: 0.5000 0.5000 0.5000 (multiplicity 1)  12 Pt 3.58
Pt: 0.0000 0.0000 0.5000 (multiplicity 3)  2 Cs 2.53

Summary:
ρ = 11.7 Mg/m³
Uncorrected energy = -13.84 eV per formula unit
Size of the total moment = 1.03 μB per formula unit